3
Lattice="5.3333 0.0000 0.0000 -2.6666 4.6188 0.0000 0.0000 0.0000 3.8071" Properties=species:S:1:pos:R:3 comment="PrDyTl | the Alexandria database | PBE | relaxed" dos_ef_per_ev_fu=1.79 density_g_cm3=8.99 de_polymorph_mev_per_atom=91 delta_e_f_ev_per_atom=-0.168 pbc="T T T"
Pr 0.0000 0.0000 0.0000
Dy 0.0000 3.0792 1.7926
Tl 2.6667 1.5396 2.1988



24
Lattice="9.0670 -11.0153 0.0000 9.0670 11.0153 0.0000 0.0000 0.0000 3.5848" Properties=species:S:1:pos:R:3 comment="Pr9Dy4Tl11 | the Alexandria database | PBE | relaxed" dos_ef_per_ev_fu=24.74 density_g_cm3=9.66 delta_e_f_ev_per_atom=-0.305 pbc="T T T"
Pr 0.0000 0.0000 0.0000
Pr 6.9564 5.6734 0.0000
Pr 6.8378 1.8879 0.0000
Pr 11.1777 5.6734 0.0000
Pr 6.8378 -1.8879 0.0000
Pr 11.2962 1.8879 0.0000
Pr 6.9564 -5.6734 0.0000
Pr 11.2962 -1.8879 0.0000
Pr 11.1777 -5.6734 0.0000
Dy 2.7286 1.8899 0.0000
Dy 2.7286 -1.8899 0.0000
Dy 15.4055 1.8899 0.0000
Dy 15.4055 -1.8899 0.0000
Tl 4.6249 3.8457 1.7924
Tl 9.0670 8.0623 1.7924
Tl 4.6448 0.0000 1.7924
Tl 9.0670 3.6924 1.7924
Tl 4.6249 -3.8457 1.7924
Tl 9.0670 0.0000 1.7924
Tl 13.5092 3.8457 1.7924
Tl 9.0670 -3.6924 1.7924
Tl 13.4893 0.0000 1.7924
Tl 9.0670 -8.0623 1.7924
Tl 13.5092 -3.8457 1.7924



10
Lattice="3.7835 0.0000 0.0000 0.0000 3.7835 0.0000 0.0000 0.0000 19.4959" Properties=species:S:1:pos:R:3 comment="PrDy4Tl5 | the Alexandria database | PBE | relaxed" dos_ef_per_ev_fu=8.18 density_g_cm3=10.79 delta_e_f_ev_per_atom=-0.354 pbc="T T T"
Pr 0.0000 0.0000 0.0000
Dy 0.0000 0.0000 4.0200
Dy 0.0000 0.0000 7.8408
Dy 0.0000 0.0000 11.6551
Dy 0.0000 0.0000 15.4759
Tl 1.8918 1.8918 2.1213
Tl 1.8918 1.8918 5.9417
Tl 1.8918 1.8918 9.7480
Tl 1.8918 1.8918 13.5543
Tl 1.8918 1.8918 17.3746



28
Lattice="9.6105 0.0000 0.0000 0.0000 9.6105 0.0000 0.0000 0.0000 9.6105" Properties=species:S:1:pos:R:3 comment="Pr3DyTl3 | the Alexandria database | PBE | relaxed" dos_ef_per_ev_fu=8.03 density_g_cm3=8.97 de_polymorph_mev_per_atom=0 delta_e_f_ev_per_atom=-0.277 pbc="T T T"
Pr 0.6635 4.1417 5.4687
Pr 1.6590 7.9515 3.1463
Pr 1.6955 1.6955 1.6955
Pr 3.1097 7.9150 6.5007
Pr 3.1463 1.6590 7.9515
Pr 4.1417 5.4687 0.6635
Pr 5.4687 0.6635 4.1417
Pr 6.4642 6.4642 6.4642
Pr 6.5007 3.1097 7.9150
Pr 7.9150 6.5007 3.1097
Pr 7.9515 3.1463 1.6590
Pr 8.9470 8.9470 8.9470
Dy 0.7135 5.5188 8.8969
Dy 4.0917 4.0917 4.0917
Dy 5.5188 8.8969 0.7135
Dy 8.8969 0.7135 5.5188
Tl 0.0230 2.4560 8.3368
Tl 1.2736 4.8283 2.3493
Tl 2.3493 1.2736 4.8283
Tl 2.4560 8.3368 0.0230
Tl 3.5316 4.7822 7.1545
Tl 4.7822 7.1545 3.5316
Tl 4.8283 2.3493 1.2736
Tl 6.0789 9.5874 7.2612
Tl 7.1545 3.5316 4.7822
Tl 7.2612 6.0789 9.5874
Tl 8.3368 0.0230 2.4560
Tl 9.5874 7.2612 6.0789



6
Lattice="5.5205 0.0000 0.0000 -2.7602 4.7809 0.0000 0.0000 0.0000 6.8182" Properties=species:S:1:pos:R:3 comment="PrDyTl | the Alexandria database | PBE | relaxed" dos_ef_per_ev_fu=3.53 density_g_cm3=9.37 de_polymorph_mev_per_atom=0 delta_e_f_ev_per_atom=-0.260 pbc="T T T"
Pr 0.0000 0.0000 0.0000
Pr 0.0000 0.0000 3.4091
Dy 0.0000 3.1872 1.7046
Dy 2.7602 1.5936 5.1137
Tl 0.0000 3.1872 5.1137
Tl 2.7602 1.5936 1.7046



11
Lattice="-1.8374 4.7611 9.8021 1.8374 -4.7611 9.8021 1.8374 4.7611 -9.8021" Properties=species:S:1:pos:R:3 comment="Pr4Dy3Tl4 | the Alexandria database | PBE | relaxed" dos_ef_per_ev_fu=10.02 density_g_cm3=9.05 delta_e_f_ev_per_atom=-0.253 pbc="T T T"
Pr 1.8374 -3.1025 6.6288
Pr 0.0000 1.6586 3.1733
Pr 1.8374 3.1025 6.6288
Pr 0.0000 7.8635 3.1733
Dy 1.8374 0.0000 0.0000
Dy 0.0000 0.0000 7.9806
Dy 0.0000 0.0000 11.6236
Tl 1.8374 0.0000 5.4385
Tl 0.0000 2.6618 0.0000
Tl 0.0000 6.8603 0.0000
Tl 0.0000 4.7611 4.3637



12
Lattice="3.1091 -5.3995 0.0000 3.1091 5.3995 0.0000 -2.0984 0.0000 11.6526" Properties=species:S:1:pos:R:3 comment="Pr6Dy2Tm3Tl | the Alexandria database | PBE | relaxed" dos_ef_per_ev_fu=13.21 density_g_cm3=7.99 delta_e_f_ev_per_atom=-0.006 pbc="T T T"
Pr -0.0361 1.7727 8.7440
Pr 0.9992 0.0000 2.8959
Pr -0.0361 -1.7727 8.7440
Pr 4.1558 1.7727 2.9086
Pr 3.1206 0.0000 8.7567
Pr 4.1558 -1.7727 2.9086
Dy 2.0599 1.7970 5.8263
Dy 2.0599 -1.7970 5.8263
Tm 3.1091 3.5910 0.0000
Tm 3.1091 0.0000 0.0000
Tm 3.1091 -3.5910 0.0000
Tl -1.0492 0.0000 5.8263



12
Lattice="5.1301 0.0000 0.0000 0.0000 10.0500 0.0000 0.0000 0.0000 6.8726" Properties=species:S:1:pos:R:3 comment="PrDy2TmTl2 | the Alexandria database | PBE | relaxed" dos_ef_per_ev_fu=6.03 density_g_cm3=9.78 delta_e_f_ev_per_atom=-0.263 pbc="T T T"
Pr 0.0000 0.4503 0.0000
Pr 0.0000 9.5997 3.4363
Dy 0.0000 3.1983 2.6392
Dy 0.0000 6.8517 6.0754
Dy 2.5650 4.5577 0.6563
Dy 2.5650 5.4924 4.0926
Tm 2.5650 1.9479 4.9471
Tm 2.5650 8.1022 1.5108
Tl 0.0000 3.6885 5.7821
Tl 0.0000 6.3615 2.3458
Tl 2.5650 1.3699 1.8343
Tl 2.5650 8.6802 5.2706



12
Lattice="5.1206 0.0000 0.0000 0.0000 10.0457 0.0000 0.0000 0.0000 6.7983" Properties=species:S:1:pos:R:3 comment="PrDyTm2Tl2 | the Alexandria database | PBE | relaxed" dos_ef_per_ev_fu=5.81 density_g_cm3=9.97 delta_e_f_ev_per_atom=-0.258 pbc="T T T"
Pr 0.0000 0.4171 0.0000
Pr 0.0000 9.6286 3.3991
Dy 2.5603 1.9508 4.9278
Dy 2.5603 8.0949 1.5287
Tm 0.0000 3.2031 2.5886
Tm 0.0000 6.8425 5.9878
Tm 2.5603 4.5945 0.6442
Tm 2.5603 5.4511 4.0434
Tl 0.0000 3.7245 5.7207
Tl 0.0000 6.3212 2.3215
Tl 2.5603 1.4387 1.7886
Tl 2.5603 8.6069 5.1877



12
Lattice="5.1364 0.0000 0.0000 0.0000 10.2387 0.0000 0.0000 0.0000 6.9196" Properties=species:S:1:pos:R:3 comment="Pr2DyTmTl2 | the Alexandria database | PBE | relaxed" dos_ef_per_ev_fu=6.26 density_g_cm3=9.33 delta_e_f_ev_per_atom=-0.264 pbc="T T T"
Pr 0.0000 0.4616 0.0000
Pr 0.0000 9.7770 3.4598
Pr 2.5682 1.9264 1.8547
Pr 2.5682 8.3123 5.3145
Dy 2.5682 4.6897 6.2154
Dy 2.5682 5.5489 2.7556
Tm 0.0000 3.2276 4.2497
Tm 0.0000 7.0111 0.7899
Tl 0.0000 3.8912 1.0884
Tl 0.0000 6.3475 4.5482
Tl 2.5682 1.5151 5.1069
Tl 2.5682 8.7236 1.6471



16
Lattice="7.8504 0.0000 0.0000 0.0000 7.8504 0.0000 0.0000 0.0000 7.8504" Properties=species:S:1:pos:R:3 comment="PrDyYTl | the Alexandria database | PBE | relaxed" dos_ef_per_ev_fu=4.90 density_g_cm3=8.19 de_polymorph_mev_per_atom=131 delta_e_f_ev_per_atom=-0.058 pbc="T T T"
Pr 0.0000 0.0000 0.0000
Pr 0.0000 3.9252 3.9252
Pr 3.9252 0.0000 3.9252
Pr 3.9252 3.9252 0.0000
Dy 1.9626 1.9626 5.8878
Dy 1.9626 5.8878 1.9626
Dy 5.8878 1.9626 1.9626
Dy 5.8878 5.8878 5.8878
Y 0.0000 0.0000 3.9252
Y 0.0000 3.9252 0.0000
Y 3.9252 0.0000 0.0000
Y 3.9252 3.9252 3.9252
Tl 1.9626 1.9626 1.9626
Tl 1.9626 5.8878 5.8878
Tl 5.8878 1.9626 5.8878
Tl 5.8878 5.8878 1.9626



12
Lattice="5.1744 0.0000 0.0000 0.0000 10.1021 0.0000 0.0000 0.0000 6.8331" Properties=species:S:1:pos:R:3 comment="PrDy2YTl2 | the Alexandria database | PBE | relaxed" dos_ef_per_ev_fu=6.26 density_g_cm3=8.96 delta_e_f_ev_per_atom=-0.277 pbc="T T T"
Pr 0.0000 0.4211 0.0000
Pr 0.0000 9.6810 3.4166
Dy 0.0000 3.2189 2.5651
Dy 0.0000 6.8833 5.9817
Dy 2.5872 4.6071 0.6256
Dy 2.5872 5.4950 4.0422
Y 2.5872 1.9398 4.9469
Y 2.5872 8.1624 1.5304
Tl 0.0000 3.7116 5.7324
Tl 0.0000 6.3905 2.3159
Tl 2.5872 1.4136 1.7945
Tl 2.5872 8.6886 5.2110